# 1
KAgBr | PBEsol | optimized geometry

The structure in POSCAR format:
```
KAgBr
1.0
5.1790 0.0000 0.0000
0.0000 5.2208 0.0000
0.0000 0.0000 12.3150
K Ag Br
4 4 4
Direct
0.0000 0.0000 0.0000
0.0000 0.5000 0.5000
0.5000 0.0000 0.5000
0.5000 0.5000 0.0000
0.0000 0.0000 0.2943
0.0000 0.5000 0.7943
0.5000 0.0000 0.7943
0.5000 0.5000 0.2943
0.0000 0.0000 0.6624
0.0000 0.5000 0.1624
0.5000 0.0000 0.1624
0.5000 0.5000 0.6624
```

***

# 2
KAgBr3 | PBEsol | optimized geometry

The structure in POSCAR format:
```
KAgBr3
1.0
3.7432 2.1611 5.9531
-3.7432 2.1611 5.9531
0.0000 -4.3223 5.9531
K Ag Br
2 2 6
Direct
0.0000 0.0000 0.0000
0.5000 0.5000 0.5000
0.2511 0.2511 0.2511
0.7511 0.7511 0.7511
0.0013 0.4497 0.5525
0.0525 0.9497 0.5013
0.4497 0.5525 0.0013
0.5013 0.0525 0.9497
0.5525 0.0013 0.4497
0.9497 0.5013 0.0525
```

***

# 3
KAg2Br | PBEsol | optimized geometry

The structure in POSCAR format:
```
KAg2Br
1.0
4.2540 0.0000 0.0000
-2.1270 3.6841 0.0000
0.0000 0.0000 21.0911
K Ag Br
3 6 3
Direct
0.0000 0.0000 0.0000
0.3333 0.6667 0.6667
0.6667 0.3333 0.3333
0.0000 0.0000 0.2252
0.0000 0.0000 0.5075
0.3333 0.6667 0.1741
0.3333 0.6667 0.8918
0.6667 0.3333 0.5585
0.6667 0.3333 0.8408
0.0000 0.0000 0.7622
0.3333 0.6667 0.4288
0.6667 0.3333 0.0955
```

***

# 4
KAg2Br | PBEsol | optimized geometry

The structure in POSCAR format:
```
KAg2Br
1.0
4.1031 0.0000 0.0000
0.0000 4.1031 0.0000
0.0000 0.0000 12.3846
K Ag Br
2 4 2
Direct
0.0000 0.0000 0.0000
0.5000 0.5000 0.5000
0.0000 0.5000 0.2500
0.0000 0.5000 0.7500
0.5000 0.0000 0.2500
0.5000 0.0000 0.7500
0.0000 0.0000 0.5000
0.5000 0.5000 0.0000
```

***

# 5
K2AgMoBr6 | PBEsol | optimized geometry

The structure in POSCAR format:
```
K2AgMoBr6
1.0
0.0000 5.3091 5.3091
5.3091 0.0000 5.3091
5.3091 5.3091 0.0000
K Ag Mo Br
2 1 1 6
Direct
0.2500 0.2500 0.2500
0.7500 0.7500 0.7500
0.0000 0.0000 0.0000
0.5000 0.5000 0.5000
0.2580 0.2580 0.7420
0.2580 0.7420 0.2580
0.2580 0.7420 0.7420
0.7420 0.2580 0.2580
0.7420 0.2580 0.7420
0.7420 0.7420 0.2580
```

***

# 6
KAgBrN2 | PBEsol | optimized geometry

The structure in POSCAR format:
```
KAgBrN2
1.0
4.4089 0.0000 0.0000
0.0000 4.4089 0.0000
0.0000 0.0000 4.8954
K Ag Br N
1 1 1 2
Direct
0.0000 0.0000 0.0000
0.5000 0.5000 0.0000
0.5000 0.5000 0.5000
0.0000 0.5000 0.5000
0.5000 0.0000 0.5000
```

***

no.,total energy (eV/atom)
1,-2.463
2,-2.857
3,-2.635
4,-2.615
5,-3.750
6,-2.961